(1)
NaCaTl3: single point on PBEsol structure, SCAN.

a b c (Å): 5.830 5.830 5.830
angles (deg): 90.00 90.00 90.00
Element x y z (fractional)
Na1 0.000 0.000 0.000
Ca1 0.500 0.500 0.500
Tl1 0.000 0.500 0.500
Tl2 0.500 0.000 0.500
Tl3 0.500 0.500 0.000

Raw total energy = -229.80 eV for the cell shown
Total magnetization = 0.000 Bohr magnetons per cell
SG = Pm-3m
Formation energy from the elements = 0.230 eV per atom


(2)
CsBaNF2: single point on PBEsol structure, SCAN.

a b c (Å): 5.034 5.034 5.386
angles (deg): 90.00 90.00 90.00
Element x y z (fractional)
Cs1 0.000 0.000 0.000
Ba1 0.500 0.500 0.500
N1 0.500 0.500 0.000
F1 0.000 0.500 0.500
F2 0.500 0.000 0.500

Raw total energy = -102.89 eV for the cell shown
Total magnetization = 2.000 Bohr magnetons per cell
SG = P4/mmm
ΔE_f (raw) = -1.831 eV per atom


(3)
Al2Co2Ag: single point on PBEsol structure, SCAN.

a b c (Å): 6.861 6.861 2.733
angles (deg): 90.00 90.00 90.00
Element x y z (fractional)
Al1 0.167 0.333 0.000
Al2 0.333 0.833 0.000
Al3 0.667 0.167 0.000
Al4 0.833 0.667 0.000
Co1 0.128 0.628 0.500
Co2 0.372 0.128 0.500
Co3 0.628 0.872 0.500
Co4 0.872 0.372 0.500
Ag1 0.000 0.000 0.500
Ag2 0.500 0.500 0.500

Raw total energy = -164.71 eV for the cell shown
Total magnetization = 2.715 Bohr magnetons per cell
SG = P4/mbm
Formation energy from the elements = -0.175 eV per atom


> Look up the raw total energy of the third one.

-164.71 eV for the cell shown